[1]
# Ti6Si2B, optimized geometry, DFT GGA-PBEsol
data_Ti6Si2B
_symmetry_space_group_name_H-M 'P 1'
_symmetry_Int_Tables_number 1
_cell_length_a 6.730
_cell_length_b 6.730
_cell_length_c 3.278
_cell_angle_alpha 90.00
_cell_angle_beta 90.00
_cell_angle_gamma 120.00
loop_
_symmetry_equiv_pos_as_xyz
'x,y,z'
loop_
_atom_site_label
_atom_site_fract_x
_atom_site_fract_y
_atom_site_fract_z
Ti1 0.000 0.399 0.000
Ti2 0.000 0.761 0.500
Ti3 0.239 0.239 0.500
Ti4 0.399 0.000 0.000
Ti5 0.601 0.601 0.000
Ti6 0.761 0.000 0.500
Si1 0.333 0.667 0.500
Si2 0.667 0.333 0.500
B1 0.000 0.000 0.000
# * SG: P-62m
# * energy relative to the elements, uncorrected: -0.699 eV/atom
# * magnetic moment: 0.0 Bohr magnetons per cell

[2]
# TiZnSiB2, optimized geometry, DFT GGA-PBEsol
data_TiZnSiB2
_symmetry_space_group_name_H-M 'P 1'
_symmetry_Int_Tables_number 1
_cell_length_a 3.756
_cell_length_b 3.756
_cell_length_c 4.972
_cell_angle_alpha 90.00
_cell_angle_beta 90.00
_cell_angle_gamma 90.00
loop_
_symmetry_equiv_pos_as_xyz
'x,y,z'
loop_
_atom_site_label
_atom_site_fract_x
_atom_site_fract_y
_atom_site_fract_z
Ti1 0.000 0.000 0.000
Zn1 0.500 0.500 0.500
Si1 0.500 0.500 0.000
B1 0.000 0.500 0.500
B2 0.500 0.000 0.500
# * SG: P4/mmm
# * energy relative to the elements, uncorrected: 1.253 eV/atom
# * magnetic moment: 0.0 Bohr magnetons per cell

Question: Which value of energy relative to the elements, uncorrected does entry 1 give?
Answer: -0.699 eV/atom

Question: Among the records above, which one has the highest energy relative to the elements, uncorrected?
Answer: TiZnSiB2